# PBE with a Hubbard U Li7MnO3F3, optimized geometry
data_Li7MnO3F3
_chemical_formula_sum 'Li14 Mn2 O6 F6'
_symmetry_space_group_name_H-M 'P 1'
_symmetry_Int_Tables_number 1
_cell_length_a 5.513
_cell_length_b 6.059
_cell_length_c 9.770
_cell_angle_alpha 104.91
_cell_angle_beta 87.44
_cell_angle_gamma 116.88
loop_
_symmetry_equiv_pos_as_xyz
'x,y,z'
loop_
_atom_site_label
_atom_site_fract_x
_atom_site_fract_y
_atom_site_fract_z
Li1 0.530 0.367 0.747
Li2 0.538 0.349 0.053
Li3 0.572 0.106 0.207
Li4 0.899 0.932 0.316
Li5 0.942 0.602 0.445
Li6 0.000 0.627 0.754
Li7 0.013 0.635 0.103
Li8 0.986 0.354 0.886
Li9 0.061 0.371 0.243
Li10 0.027 0.351 0.552
Li11 0.024 0.036 0.678
Li12 0.443 0.992 0.814
Li13 0.450 0.652 0.951
Li14 0.495 0.646 0.604
Mn1 0.019 0.016 0.992
Mn2 0.515 0.025 0.507
O1 0.296 0.263 0.882
O2 0.806 0.220 0.378
O3 0.790 0.242 0.701
O4 0.827 0.254 0.062
O5 0.173 0.747 0.941
O6 0.217 0.755 0.608
F1 0.295 0.216 0.196
F2 0.317 0.283 0.574
F3 0.148 0.746 0.295
F4 0.744 0.782 0.477
F5 0.697 0.736 0.784
F6 0.704 0.726 0.119
# Energy above the lowest structure with this stoichiometry (meV per atom): 29